No. 1
A plane-wave DFT calculation with PBE was carried out for Er5Pd2 after structural relaxation.

abc: 8.779 8.779 6.978
angles: 95.99 95.99 43.30
Fractional positions:
1 Er 0.789 0.020 0.070
2 Er 0.212 0.346 0.192
3 Er 0.431 0.569 0.250
4 Er 0.654 0.788 0.308
5 Er 0.980 0.211 0.430
6 Er 0.020 0.789 0.570
7 Er 0.346 0.212 0.692
8 Er 0.569 0.431 0.750
9 Er 0.788 0.654 0.808
10 Er 0.211 0.980 0.930
11 Pd 0.815 0.407 0.067
12 Pd 0.593 0.185 0.433
13 Pd 0.407 0.815 0.567
14 Pd 0.185 0.593 0.933

Its final energy is -5.288 eV/atom. Its formation energy is -550.1 meV/atom.

=====

No. 2
A plane-wave DFT calculation with PBE was carried out for CdOsPb2 after structural relaxation.

abc: 5.052 5.052 5.052
angles: 60.00 60.00 60.00
Fractional positions:
1 Cd 0.500 0.500 0.500
2 Os 0.250 0.250 0.250
3 Pb 0.000 0.000 0.000
4 Pb 0.750 0.750 0.750

Its final energy is -4.029 eV/atom.

=====

No. 3
A plane-wave DFT calculation with PBE was carried out for AlCu2SeS2 after structural relaxation.

abc: 6.592 6.592 6.579
angles: 99.59 99.59 119.84
Fractional positions:
1 Al 0.912 0.095 0.009
2 Al 0.095 0.912 0.509
3 Cu 0.379 0.544 0.483
4 Cu 0.740 0.256 0.485
5 Cu 0.544 0.379 0.983
6 Cu 0.256 0.740 0.985
7 S 0.281 0.451 0.117
8 S 0.612 0.116 0.118
9 S 0.451 0.281 0.617
10 S 0.116 0.612 0.618
11 Se 0.945 0.775 0.117
12 Se 0.775 0.945 0.617

Its final energy is -4.380 eV/atom.